Computed, not measured: a relaxed TbTi2Mn crystal at the PBE-GGA level of DFT.

## Properties
Spin magnetization, μB per cell: 0.0
VASP energy, eV/atom: -7.369
Formation enthalpy at 0 K, eV per atom: 0.03

Unit cell a=3.071 b=3.071 c=7.744 alpha=90.00 beta=90.00 gamma=90.00
Positions (direct):
Mn1 0.500 0.500 0.000
Tb1 0.500 0.500 0.500
Ti1 0.000 0.000 0.822
Ti2 0.000 0.000 0.178